Record 1
Density functional theory data (PBE-GGA) for a relaxed GaSnIN2 crystal.

a b c (Å): 4.1827 4.1827 6.6350
angles (deg): 90.00 90.00 90.00
Closest atoms and distances in Å follow each position.
Positions (direct):
I: 0.0000 0.0000 0.5000  4 Ga 2.96
N: 0.0000 0.5000 0.0000  2 Sn 2.09
N: 0.5000 0.0000 0.0000  2 Sn 2.09
Sn: 0.0000 0.0000 0.0000  4 N 2.09
Ga: 0.5000 0.5000 0.5000  4 I 2.96

Symmetry: P4/mmm, No. 123
Formation energy (no corrections) in eV per formula unit: 5.88

---

Record 2
Density functional theory data (PBE-GGA) for a relaxed SiOs8 crystal.

a b c (Å): 6.0872 6.0872 6.0872
angles (deg): 95.75 95.75 143.10
Closest atoms and distances in Å follow each position.
Positions (direct):
Os: 0.0000 0.6623 0.6623  11 Os 2.65-2.74, 1 Si 2.76
Os: 0.3283 0.3283 0.6567  10 Os 2.64-2.80, 2 Si 2.76
Os: 0.0000 0.3377 0.3377  11 Os 2.65-2.74, 1 Si 2.76
Os: 0.6623 0.0000 0.6623  11 Os 2.65-2.74, 1 Si 2.76
Os: 0.6717 0.3283 0.0000  10 Os 2.64-2.80, 2 Si 2.76
Os: 0.3377 0.0000 0.3377  11 Os 2.65-2.74, 1 Si 2.76
Os: 0.3283 0.6717 0.0000  10 Os 2.64-2.80, 2 Si 2.76
Os: 0.6717 0.6717 0.3433  10 Os 2.64-2.80, 2 Si 2.76
Si: 0.0000 0.0000 0.0000  12 Os 2.76

Symmetry: I4/mmm, No. 139
Formation energy (no corrections) in eV per formula unit: 1.25

---

Record 3
Density functional theory data (PBE-GGA) for a relaxed Mn3PdN crystal.

a b c (Å): 3.7808 3.7808 3.7808
angles (deg): 90.00 90.00 90.00
Closest atoms and distances in Å follow each position.
Positions (direct):
N: 0.0000 0.0000 0.0000  6 Mn 1.89
Mn: 0.0000 0.0000 0.5000  2 N 1.89
Mn: 0.5000 0.0000 0.0000  2 N 1.89
Mn: 0.0000 0.5000 0.0000  2 N 1.89
Pd: 0.5000 0.5000 0.5000  12 Mn 2.67

Symmetry: Pm-3m, No. 221
Formation energy (no corrections) in eV per formula unit: -0.40